# 1
{
  "formula": "CeDy4In4",
  "functional": "PBE-GGA",
  "state": "optimized geometry",
  "lattice_angstrom": [[7.312, 0.000, 0.000], [0.000, 7.312, 0.000], [0.000, 0.000, 10.559]],
  "species": ["Ce", "Ce", "Dy", "Dy", "Dy", "Dy", "Dy", "Dy", "Dy", "Dy", "In", "In", "In", "In", "In", "In", "In", "In"],
  "frac_coords": [[0.250, 0.750, 0.250], [0.750, 0.250, 0.750], [0.016, 0.250, 0.158], [0.250, 0.016, 0.658], [0.250, 0.484, 0.658], [0.484, 0.250, 0.158], [0.516, 0.750, 0.842], [0.750, 0.516, 0.342], [0.750, 0.984, 0.342], [0.984, 0.750, 0.842], [0.040, 0.250, 0.456], [0.250, 0.040, 0.956], [0.250, 0.460, 0.956], [0.460, 0.250, 0.456], [0.540, 0.750, 0.544], [0.750, 0.540, 0.044], [0.750, 0.960, 0.044], [0.960, 0.750, 0.544]],
  "density_kg_m3": 7349,
  "total_energy_ev_per_atom": -4.0527,
  "formation_enthalpy_0k_mev_per_atom": -131,
  "sg": "P4_2/nmc"
}

# 2
{
  "formula": "Ti2CrHRu",
  "functional": "PBE-GGA",
  "state": "optimized geometry",
  "lattice_angstrom": [[4.302, 0.000, 0.000], [0.000, 4.302, 0.000], [0.000, 0.000, 3.214]],
  "species": ["Ti", "Ti", "Cr", "H", "Ru"],
  "frac_coords": [[0.000, 0.500, 0.000], [0.500, 0.000, 0.000], [0.000, 0.000, 0.500], [0.000, 0.000, 0.000], [0.500, 0.500, 0.500]],
  "density_kg_m3": 6974,
  "total_energy_ev_per_atom": -7.9521,
  "sg": "P4/mmm"
}

# 3
{
  "formula": "SrYRe2",
  "functional": "PBE-GGA",
  "state": "optimized geometry",
  "lattice_angstrom": [[3.007, -4.988, 0.000], [3.007, 4.988, 0.000], [0.000, 0.000, 2.774]],
  "species": ["Sr", "Y", "Re", "Re"],
  "frac_coords": [[0.000, 0.000, 0.000], [0.500, 0.500, 0.000], [0.000, 0.500, 0.500], [0.500, 0.000, 0.500]],
  "density_kg_m3": 10952,
  "total_energy_ev_per_atom": -7.2250,
  "formation_enthalpy_0k_mev_per_atom": 1035,
  "sg": "Cmmm"
}

# 4
{
  "formula": "BaCd2Br6",
  "functional": "PBE-GGA",
  "state": "optimized geometry",
  "lattice_angstrom": [[7.393, -2.754, 0.000], [7.393, 2.754, 0.000], [-2.553, 0.000, 9.024]],
  "species": ["Ba", "Cd", "Cd", "Br", "Br", "Br", "Br", "Br", "Br"],
  "frac_coords": [[0.000, 0.000, 0.000], [0.231, 0.231, 0.666], [0.769, 0.769, 0.334], [0.064, 0.064, 0.701], [0.217, 0.217, 0.366], [0.365, 0.365, 0.924], [0.635, 0.635, 0.076], [0.783, 0.783, 0.634], [0.936, 0.936, 0.299]],
  "density_kg_m3": 3803,
  "e_form_raw_mev_per_atom": -1243.2,
  "total_energy_ev_per_atom": -2.7755,
  "sg": "C2/m"
}

# 5
{
  "formula": "CrCo2Rh",
  "functional": "PBE-GGA",
  "state": "optimized geometry",
  "lattice_angstrom": [[-1.440, 2.077, 4.070], [1.440, -2.077, 4.070], [1.440, 2.077, -4.070]],
  "species": ["Cr", "Co", "Co", "Rh"],
  "frac_coords": [[0.000, 0.000, 0.000], [0.521, 0.521, 0.000], [0.767, 0.267, 0.500], [0.253, 0.753, 0.500]],
  "density_kg_m3": 9299,
  "total_energy_ev_per_atom": -7.6223,
  "formation_enthalpy_0k_mev_per_atom": 174,
  "sg": "Imm2"
}

# 6
{
  "formula": "Hf2CuW",
  "functional": "PBE-GGA",
  "state": "optimized geometry",
  "lattice_angstrom": [[-2.010, 2.010, 9.509], [2.010, -2.010, 9.509], [2.010, 2.010, -9.509]],
  "species": ["Hf", "Hf", "Hf", "Hf", "Cu", "Cu", "W", "W"],
  "frac_coords": [[0.122, 0.625, 0.997], [0.375, 0.372, 0.497], [0.628, 0.125, 0.003], [0.875, 0.878, 0.503], [0.250, 0.750, 0.500], [0.500, 0.500, 0.000], [0.000, 0.000, 0.000], [0.750, 0.250, 0.500]],
  "density_kg_m3": 13065,
  "total_energy_ev_per_atom": -8.4311,
  "formation_enthalpy_0k_mev_per_atom": 808,
  "sg": "I-42d"
}

# 7
{
  "formula": "LiTe2Br",
  "functional": "PBE-GGA",
  "state": "optimized geometry",
  "lattice_angstrom": [[4.040, 0.000, 0.000], [0.000, 4.018, 0.000], [-1.724, 0.000, 8.446]],
  "species": ["Li", "Te", "Te", "Br"],
  "frac_coords": [[0.000, 0.000, 0.000], [0.240, 0.000, 0.385], [0.820, 0.500, 0.495], [0.567, 0.500, 0.980]],
  "density_kg_m3": 4143,
  "e_form_raw_mev_per_atom": -619.2,
  "total_energy_ev_per_atom": -3.0867,
  "sg": "Pm"
}

# 8
{
  "formula": "LiSnP2O7",
  "functional": "PBE-GGA",
  "state": "optimized geometry",
  "lattice_angstrom": [[5.049, 0.000, 0.000], [0.000, 8.859, 0.000], [-2.307, 0.000, 6.922]],
  "species": ["Li", "Li", "Sn", "Sn", "P", "P", "P", "P", "O", "O", "O", "O", "O", "O", "O", "O", "O", "O", "O", "O", "O", "O"],
  "frac_coords": [[0.188, 0.000, 0.153], [0.812, 0.500, 0.847], [0.211, 0.349, 0.231], [0.789, 0.849, 0.769], [0.214, 0.055, 0.576], [0.406, 0.670, 0.048], [0.594, 0.170, 0.952], [0.786, 0.555, 0.424], [0.053, 0.533, 0.371], [0.159, 0.127, 0.375], [0.226, 0.813, 0.018], [0.230, 0.523, 0.015], [0.378, 0.907, 0.587], [0.394, 0.167, 0.073], [0.409, 0.177, 0.725], [0.591, 0.677, 0.275], [0.606, 0.667, 0.927], [0.622, 0.407, 0.413], [0.770, 0.023, 0.985], [0.774, 0.313, 0.982], [0.841, 0.627, 0.625], [0.947, 0.033, 0.629]],
  "density_kg_m3": 3214,
  "e_form_raw_mev_per_atom": -2028.8,
  "total_energy_ev_per_atom": -6.7055,
  "sg": "P2_1"
}